No. 1
First-principles (PBE-GGA) data for a relaxed RbTmHfSe3 crystal, as listed in the Open Quantum Materials Database.

a b c (Å): 4.1590 15.8942 10.6438
angles (deg): 90.00 90.00 90.00
With the nearest neighbours (Å) after each atom.
Space group Cmcm (No. 63)
Symmetry-distinct sites (fractional):
1 Rb 0.0000 0.2445 0.2500 (multiplicity 4)  8 Se 3.46-3.82
2 Tm 0.0000 0.0346 0.7500 (multiplicity 4)  4 Se 2.67
3 Hf 0.0000 0.5000 0.0000 (multiplicity 4)  6 Se 2.81-2.89
4 Se 0.0000 0.1169 0.5313 (multiplicity 8)  1 Tm 2.67, 2 Hf 2.81
5 Se 0.0000 0.4294 0.7500 (multiplicity 4)  2 Tm 2.67, 2 Hf 2.89

E above lowest polymorph, eV/atom: 0.0702

No. 2
First-principles (PBE-GGA) data for a relaxed NdTaIr crystal, as listed in the Open Quantum Materials Database.

a b c (Å): 6.6024 6.6024 6.6024
angles (deg): 90.00 90.00 90.00
With the nearest neighbours (Å) after each atom.
Space group F-43m (No. 216)
Symmetry-distinct sites (fractional):
1 Nd 0.0000 0.0000 0.0000 (multiplicity 4)  4 Ir 2.86
2 Ta 0.0000 0.0000 0.5000 (multiplicity 4)  4 Ir 2.86
3 Ir 0.2500 0.2500 0.2500 (multiplicity 4)  4 Ta 2.86, 4 Nd 2.86

E_form, eV per atom: 0.10
E above lowest polymorph, eV/atom: 0.0000

No. 3
First-principles (PBE-GGA) data for a relaxed LiFeCu4Ge2 crystal, as listed in the Open Quantum Materials Database.

a b c (Å): 4.0811 4.0811 6.1537
angles (deg): 90.00 90.00 90.00
With the nearest neighbours (Å) after each atom.
Space group P4/mmm (No. 123)
Symmetry-distinct sites (fractional):
1 Li 0.0000 0.0000 0.0000 (multiplicity 1)  8 Cu 2.53
2 Fe 0.5000 0.5000 0.5000 (multiplicity 1)  8 Cu 2.58
3 Cu 0.0000 0.5000 0.2444 (multiplicity 4)  4 Ge 2.53-2.58, 2 Li 2.53, 2 Fe 2.58
4 Ge 0.0000 0.0000 0.5000 (multiplicity 1)  8 Cu 2.58
5 Ge 0.5000 0.5000 0.0000 (multiplicity 1)  8 Cu 2.53

Electronic total energy, eV per atom: -4.3080

No. 4
First-principles (PBE-GGA) data for a relaxed Sc2CuGe2 crystal, as listed in the Open Quantum Materials Database.

a b c (Å): 4.6093 4.6093 10.4686
angles (deg): 90.00 90.00 90.00
With the nearest neighbours (Å) after each atom.
Space group I4/mmm (No. 139)
Symmetry-distinct sites (fractional):
1 Sc 0.0000 0.5000 0.2500 (multiplicity 4)  4 Ge 2.71
2 Cu 0.0000 0.0000 0.0000 (multiplicity 2)  8 Ge 3.47, 8 Sc 3.49
3 Ge 0.0000 0.0000 0.3869 (multiplicity 4)  1 Ge 2.37

E above lowest polymorph, eV/atom: 0.1382

No. 5
First-principles (PBE-GGA) data for a relaxed TbPd3C3 crystal, as listed in the Open Quantum Materials Database.

a b c (Å): 3.5056 3.5056 17.8394
angles (deg): 90.00 90.00 120.00
With the nearest neighbours (Å) after each atom.
Space group P6_3/mmc (No. 194)
Symmetry-distinct sites (fractional):
1 Tb 0.0000 0.0000 0.0000 (multiplicity 2)  6 C 2.52
2 Pd 0.3333 0.6667 0.1346 (multiplicity 4)  4 C 2.06-2.22
3 Pd 0.3333 0.6667 0.7500 (multiplicity 2)  3 C 2.02
4 C 0.3333 0.6667 0.2500 (multiplicity 2)  5 Pd 2.02-2.06
5 C 0.3333 0.6667 0.5841 (multiplicity 4)  3 Pd 2.22

Electronic total energy, eV per atom: -6.2785

No. 6
First-principles (PBE-GGA) data for a relaxed SrGe2Pt5 crystal, as listed in the Open Quantum Materials Database.

a b c (Å): 4.0141 7.2691 9.9795
angles (deg): 90.00 90.00 90.00
With the nearest neighbours (Å) after each atom.
Space group Immm (No. 71)
Symmetry-distinct sites (fractional):
1 Sr 0.0000 0.0000 0.0000 (multiplicity 2)  4 Ge 3.21, 8 Pt 3.33
2 Ge 0.0000 0.5000 0.2485 (multiplicity 4)  7 Pt 2.45-2.66
3 Pt 0.0000 0.1952 0.3531 (multiplicity 8)  3 Ge 2.45-2.66
4 Pt 0.0000 0.5000 0.0000 (multiplicity 2)  2 Ge 2.48

Electronic total energy, eV per atom: -5.7775

No. 7
First-principles (PBE-GGA) data for a relaxed ZnCoCuAu crystal, as listed in the Open Quantum Materials Database.

a b c (Å): 6.0173 6.0173 6.0173
angles (deg): 90.00 90.00 90.00
With the nearest neighbours (Å) after each atom.
Space group F-43m (No. 216)
Symmetry-distinct sites (fractional):
1 Zn 0.0000 0.0000 0.0000 (multiplicity 4)  4 Co 2.61, 4 Au 2.61
2 Co 0.2500 0.2500 0.2500 (multiplicity 4)  4 Cu 2.61, 4 Zn 2.61
3 Cu 0.0000 0.0000 0.5000 (multiplicity 4)  4 Au 2.61, 4 Co 2.61
4 Au 0.2500 0.2500 0.7500 (multiplicity 4)  4 Cu 2.61, 4 Zn 2.61

E_form, eV per atom: 0.07
E above lowest polymorph, eV/atom: 0.0000

No. 8
First-principles (PBE-GGA) data for a relaxed NbAgOs crystal, as listed in the Open Quantum Materials Database.

a b c (Å): 6.1813 6.1813 6.1813
angles (deg): 90.00 90.00 90.00
With the nearest neighbours (Å) after each atom.
Space group F-43m (No. 216)
Symmetry-distinct sites (fractional):
1 Nb 0.0000 0.0000 0.0000 (multiplicity 4)  4 Os 2.68
2 Ag 0.0000 0.0000 0.5000 (multiplicity 4)  4 Os 2.68
3 Os 0.2500 0.2500 0.7500 (multiplicity 4)  4 Nb 2.68, 4 Ag 2.68

E_form, eV per atom: 0.66
E above lowest polymorph, eV/atom: 0.0000